DFT (PBE) results for a geometry-optimized Ga2IrAuSe structure.

Cell and atoms, written as POSCAR:
```
Ga2IrAuSe
1.0
4.748 0.000 0.000
0.000 4.748 0.000
0.000 0.000 5.228
Ga Ir Au Se
2 1 1 1
Direct
0.000 0.500 0.000
0.500 0.000 0.000
0.000 0.000 0.500
0.000 0.000 0.000
0.500 0.500 0.500
```

Values from the calculation:
N(E_F) = 4.7 states/eV per cell
energy relative to the elements, uncorrected = 0.782 eV/atom
magnetic moment = 0.00 μB/f.u.